1.
## ZnGa12Ag16 (PBE)

Data for crystalline ZnGa12Ag16 at its relaxed geometry.

Cell lengths 8.622, 8.622, 8.983 Å; angles 110.58, 110.58, 107.71 degrees
Sites, in units of the cell vectors:
Ga 0.621 0.621 0.827
Ga 0.183 0.804 0.799
Ag 0.586 0.277 0.592
Ag 0.401 0.993 0.677
Ag 0.369 0.369 0.332
Ag 0.010 0.010 0.010
Ag 0.684 0.006 0.389
Ga 0.814 0.625 0.646
Ga 0.804 0.183 0.799
Ga 0.364 0.998 0.181
Ga 0.625 0.814 0.646
Ag 0.681 0.396 0.003
Ga 0.196 0.003 0.373
Ag 0.706 0.331 0.317
Ag 0.993 0.401 0.677
Ag 0.331 0.706 0.317
Ag 0.307 0.307 0.717
Ag 0.006 0.684 0.389
Zn 0.640 0.640 0.322
Ga 0.369 0.182 0.988
Ag 0.985 0.985 0.659
Ag 0.396 0.681 0.003
Ag 0.657 0.004 0.010
Ga 0.003 0.196 0.373
Ga 0.998 0.364 0.181
Ag 0.277 0.586 0.592
Ga 0.182 0.369 0.988
Ga 0.809 0.809 0.184
Ag 0.004 0.657 0.010

Summary:
N(E_F) = 0.1410 states/eV per atom
VASP energy = -0.1048 hartree per atom
SG = No. 8
Formation enthalpy at 0 K = 17 meV/atom

***

2.
## Zn3Ga2Ag (PBE)

Data for crystalline Zn3Ga2Ag at its relaxed geometry.

Cell lengths 4.515, 4.515, 10.800 Å; angles 82.62, 82.62, 104.38 degrees
Sites, in units of the cell vectors:
Zn 0.449 0.551 0.250
Zn 0.690 0.821 0.507
Zn 0.551 0.449 0.750
Ga 0.112 0.598 0.611
Zn 0.310 0.179 0.493
Ga 0.888 0.402 0.389
Zn 0.179 0.310 0.993
Ga 0.598 0.112 0.111
Ga 0.402 0.888 0.889
Ag 0.963 0.037 0.750
Ag 0.037 0.963 0.250
Zn 0.821 0.690 0.007

Summary:
N(E_F) = 0.2969 states/eV per atom
VASP energy = -0.0767 hartree per atom
ΔE to the lowest computed polymorph = 11.7 kJ/mol of formula units
SG = No. 15
Formation enthalpy at 0 K = 33 meV/atom

***

3.
## ZnGa5Ag2 (PBE)

Data for crystalline ZnGa5Ag2 at its relaxed geometry.

Cell lengths 2.923, 7.658, 13.712 Å; angles 90.00, 90.00, 101.00 degrees
Sites, in units of the cell vectors:
Ga 0.274 0.548 0.750
Ga 0.722 0.444 0.582
Ag 0.924 0.848 0.146
Ga 0.278 0.556 0.082
Ga 0.090 0.181 0.055
Ga 0.910 0.819 0.555
Ga 0.722 0.444 0.918
Ag 0.924 0.848 0.354
Ag 0.076 0.152 0.646
Ga 0.090 0.181 0.445
Ga 0.278 0.556 0.418
Ga 0.910 0.819 0.945
Ag 0.076 0.152 0.854
Zn 0.925 0.851 0.750
Zn 0.075 0.149 0.250
Ga 0.726 0.452 0.250

Summary:
N(E_F) = 0.2735 states/eV per atom
VASP energy = -0.0988 hartree per atom
ΔE to the lowest computed polymorph = 37.9 kJ/mol of formula units
SG = No. 63
Formation enthalpy at 0 K = 75 meV/atom

***

4.
## Zn2Ga8Ag (PBE)

Data for crystalline Zn2Ga8Ag at its relaxed geometry.

Cell lengths 4.819, 6.852, 6.852 Å; angles 74.95, 81.28, 81.28 degrees
Sites, in units of the cell vectors:
Ga 0.695 0.624 0.624
Zn 0.557 0.872 0.872
Zn 0.443 0.128 0.128
Ga 0.221 0.780 0.354
Ga 0.869 0.250 0.250
Ga 0.779 0.220 0.646
Ga 0.221 0.354 0.780
Ag 0.000 0.000 0.000
Ga 0.131 0.750 0.750
Ga 0.779 0.646 0.220
Ga 0.305 0.376 0.376

Summary:
N(E_F) = 0.2195 states/eV per atom
VASP energy = -0.0971 hartree per atom
ΔE to the lowest computed polymorph = 25.4 kJ/mol of formula units
SG = No. 12
Formation enthalpy at 0 K = 50 meV/atom

***

5.
## Zn5Ga2Ag2 (PBE)

Data for crystalline Zn5Ga2Ag2 at its relaxed geometry.

Cell lengths 10.065, 4.917, 8.292 Å; angles 107.25, 127.36, 90.00 degrees
Sites, in units of the cell vectors:
Ga 0.150 0.596 0.231
Zn 0.932 0.240 0.500
Ag 0.500 0.475 0.000
Zn 0.803 0.796 0.123
Zn 0.820 0.296 0.123
Ga 0.419 0.865 0.769
Ag 0.000 0.975 0.000
Zn 0.656 0.833 0.713
Zn 0.180 0.173 0.877
Zn 0.197 0.673 0.877
Ga 0.581 0.096 0.231
Ga 0.850 0.365 0.769
Zn 0.068 0.740 0.500
Zn 0.344 0.120 0.287
Ag 0.792 0.738 0.500
Ag 0.208 0.238 0.500
Zn 0.443 0.620 0.287
Zn 0.557 0.333 0.713

Summary:
N(E_F) = 0.3219 states/eV per atom
VASP energy = -0.0724 hartree per atom
SG = No. 46
Formation enthalpy at 0 K = 43 meV/atom

***

6.
## Zn6GaAg3 (PBE)

Data for crystalline Zn6GaAg3 at its relaxed geometry.

Cell lengths 4.658, 7.306, 10.270 Å; angles 114.01, 90.00, 90.00 degrees
Sites, in units of the cell vectors:
Zn 0.250 0.066 0.872
Zn 0.250 0.170 0.173
Ga 0.750 0.033 0.426
Zn 0.750 0.830 0.827
Ag 0.750 0.435 0.627
Zn 0.250 0.868 0.262
Zn 0.250 0.259 0.463
Zn 0.750 0.332 0.326
Ag 0.750 0.641 0.230
Zn 0.250 0.467 0.068
Ag 0.250 0.773 0.969
Zn 0.750 0.741 0.537
Ag 0.250 0.359 0.770
Zn 0.250 0.668 0.674
Zn 0.750 0.934 0.128
Ga 0.250 0.967 0.574
Zn 0.750 0.132 0.738
Ag 0.250 0.565 0.373
Ag 0.750 0.227 0.031
Zn 0.750 0.533 0.932

Summary:
N(E_F) = 0.1932 states/eV per atom
VASP energy = -0.0714 hartree per atom
ΔE to the lowest computed polymorph = 0.0 kJ/mol of formula units
SG = No. 11
Formation enthalpy at 0 K = -19 meV/atom